This record from Alexandria via LeMat-Bulk describes Pm2Dy6Ho3Er after structural relaxation. The functional is PBE-GGA.

Values from the calculation:
Total magnetization ... 0.0 Bohr magnetons per cell
Calculated total energy ... -4.6009 eV/atom
Crystal system ... monoclinic
Calculated formation energy ... 0.0166 eV per atom

abc: 6.1482 6.1482 11.7722
angles: 94.97 94.97 119.96
Closest atoms and distances in Å follow each position.
Positions (direct):
1 Dy 0.5828 0.9154 0.7477  3 Ho 3.53, 6 Dy 3.54-3.56, 2 Pm 3.57-3.58, 1 Er 3.57
2 Pm 0.3334 0.6666 0.0000  3 Pm 3.55, 3 Er 3.55, 6 Dy 3.57-3.58
3 Ho 0.5000 0.5000 0.5000  6 Dy 3.53, 6 Ho 3.55
4 Dy 0.0846 0.4172 0.2523  3 Ho 3.53, 6 Dy 3.54-3.56, 2 Pm 3.57-3.58, 1 Er 3.57
5 Dy 0.9154 0.5828 0.7477  3 Ho 3.53, 6 Dy 3.54-3.56, 2 Pm 3.57-3.58, 1 Er 3.57
6 Er 0.0000 0.0000 0.0000  6 Pm 3.55, 6 Dy 3.57
7 Dy 0.4172 0.0846 0.2523  3 Ho 3.53, 6 Dy 3.54-3.56, 2 Pm 3.57-3.58, 1 Er 3.57
8 Dy 0.2478 0.2478 0.7475  3 Ho 3.52-3.53, 6 Dy 3.54-3.56, 1 Er 3.57, 2 Pm 3.58
9 Ho 0.8336 0.1664 0.5000  6 Dy 3.52-3.53, 6 Ho 3.54-3.55
10 Ho 0.1664 0.8336 0.5000  6 Dy 3.52-3.53, 6 Ho 3.54-3.55
11 Dy 0.7522 0.7522 0.2525  3 Ho 3.52-3.53, 6 Dy 3.54-3.56, 1 Er 3.57, 2 Pm 3.58
12 Pm 0.6666 0.3334 0.0000  3 Pm 3.55, 3 Er 3.55, 6 Dy 3.57-3.58